Entry 1:
! PaGeI PBE-GGA optimized geometry; values from VASP
&SYSTEM
  ibrav = 0, nat = 6, ntyp = 3
/
ATOMIC_SPECIES
I 126.90 I.upf
Ge 72.64 Ge.upf
Pa 231.04 Pa.upf
ATOMIC_POSITIONS angstrom
I 8.368 4.878 6.556
I 3.220 0.056 1.933
Ge 1.361 -1.700 0.258
Ge 5.794 2.467 4.244
Pa 5.356 3.903 6.733
Pa 3.014 1.710 4.630
CELL_PARAMETERS angstrom
-1.862 -1.015 3.132
2.963 -2.032 -1.180
8.880 8.318 7.975
! SG   Amm2, No. 38
! Formation energy (no corrections)   -100 meV/atom
! E   -0.39109 Ry/atom
! Crystal system   orthorhombic
! Density of states at the Fermi level   9.33 states/eV/cell

---

Entry 2:
! NdCu2Rh PBE-GGA optimized geometry; values from VASP
&SYSTEM
  ibrav = 0, nat = 4, ntyp = 3
/
ATOMIC_SPECIES
Nd 144.24 Nd.upf
Rh 102.91 Rh.upf
Cu 63.55 Cu.upf
ATOMIC_POSITIONS angstrom
Nd 0.000 0.000 0.000
Rh 4.314 2.491 2.317
Cu 2.157 1.245 1.810
Cu 6.472 3.736 2.824
CELL_PARAMETERS angstrom
4.314 0.000 0.000
2.157 3.736 0.000
2.157 1.245 4.634
! SG   R-3m, No. 166
! E   -0.39059 Ry/atom
! Formation enthalpy at 0 K   -0.236 eV/atom
! Crystal system   trigonal
! Density of states at the Fermi level   2.46 states/eV/cell

---

Entry 3:
! KAg2AsO4 PBE-GGA optimized geometry; values from VASP
&SYSTEM
  ibrav = 0, nat = 8, ntyp = 4
/
ATOMIC_SPECIES
O 16.00 O.upf
Ag 107.87 Ag.upf
K 39.10 K.upf
As 74.92 As.upf
ATOMIC_POSITIONS angstrom
O 3.989 0.833 2.088
O 7.973 2.343 3.439
O 9.970 3.677 1.947
O 1.992 2.167 0.597
Ag 5.981 1.245 3.146
Ag 5.981 3.265 0.889
K 0.000 0.000 0.000
As 2.990 2.255 2.018
CELL_PARAMETERS angstrom
5.981 0.000 0.000
2.990 4.662 -0.673
2.990 -0.152 4.708
! SG   I222, No. 23
! Formation energy (no corrections)   -1004 meV/atom
! E   -0.36117 Ry/atom
! Crystal system   orthorhombic
! Density of states at the Fermi level   0.06 states/eV/cell

---

Entry 4:
! ScCdAg2 PBE-GGA optimized geometry; values from VASP
&SYSTEM
  ibrav = 0, nat = 4, ntyp = 3
/
ATOMIC_SPECIES
Ag 107.87 Ag.upf
Cd 112.41 Cd.upf
Sc 44.96 Sc.upf
ATOMIC_POSITIONS angstrom
Ag 2.258 2.259 0.000
Ag 0.000 0.000 0.000
Cd 2.258 0.000 1.963
Sc 0.000 2.259 1.963
CELL_PARAMETERS angstrom
4.517 0.000 0.000
0.000 4.517 0.000
0.000 0.000 3.926
! SG   P4/mmm, No. 123
! E   -0.24766 Ry/atom
! Formation enthalpy at 0 K   -0.132 eV/atom
! Crystal system   tetragonal
! Density of states at the Fermi level   2.47 states/eV/cell

---

Entry 5:
! AgMo2Ru PBE-GGA optimized geometry; values from VASP
&SYSTEM
  ibrav = 0, nat = 4, ntyp = 3
/
ATOMIC_SPECIES
Mo 95.94 Mo.upf
Ag 107.87 Ag.upf
Ru 101.07 Ru.upf
ATOMIC_POSITIONS angstrom
Mo 0.993 -2.582 -0.076
Mo 0.000 0.000 0.000
Ag -1.018 -1.819 -1.893
Ru 1.545 -0.823 -2.205
CELL_PARAMETERS angstrom
-0.466 -0.061 -4.021
3.557 -1.586 -0.388
-1.570 -3.577 0.236
! SG   P4/mmm, No. 123
! E   -0.59286 Ry/atom
! Formation enthalpy at 0 K   0.381 eV/atom
! Crystal system   tetragonal
! Density of states at the Fermi level   3.42 states/eV/cell

---

Entry 6:
! Ac2Ni12As7 PBE-GGA optimized geometry; values from VASP
&SYSTEM
  ibrav = 0, nat = 21, ntyp = 3
/
ATOMIC_SPECIES
Ni 58.69 Ni.upf
As 74.92 As.upf
Ac 227.00 Ac.upf
ATOMIC_POSITIONS angstrom
Ni 2.004 1.960 6.175
Ni 0.000 2.271 -0.887
Ni 2.004 1.905 3.363
Ni 0.000 3.840 2.770
Ni 0.000 7.865 -2.343
Ni 0.000 0.479 4.796
Ni 0.000 6.329 3.230
Ni 0.000 3.914 6.694
Ni 2.004 5.779 -2.529
Ni 2.004 7.533 1.516
Ni 2.004 4.368 4.722
Ni 2.004 3.154 1.013
As 2.004 5.221 2.459
As 0.000 2.744 4.753
As 0.000 1.906 1.491
As 2.004 3.492 -1.461
As 0.000 5.988 5.658
As 0.000 0.339 7.110
As 2.004 7.752 -0.998
Ac 0.000 5.489 0.000
Ac 2.004 0.000 0.000
CELL_PARAMETERS angstrom
4.009 0.000 0.000
0.000 8.233 -4.753
0.000 0.000 9.507
! SG   P-6, No. 174
! E   -0.42087 Ry/atom
! Formation enthalpy at 0 K   -0.482 eV/atom
! Crystal system   hexagonal
! Density of states at the Fermi level   14.00 states/eV/cell

---

Entry 7:
! Li2Tb PBE-GGA optimized geometry; values from VASP
&SYSTEM
  ibrav = 0, nat = 3, ntyp = 2
/
ATOMIC_SPECIES
Tb 158.93 Tb.upf
Li 6.94 Li.upf
ATOMIC_POSITIONS angstrom
Tb -4.870 1.639 0.287
Li -2.581 1.899 -2.115
Li -8.044 2.385 -0.415
CELL_PARAMETERS angstrom
-0.828 3.164 -0.550
-0.885 1.010 -3.103
-8.345 1.305 0.942
! SG   P-1, No. 2
! E   -0.19800 Ry/atom
! Formation enthalpy at 0 K   0.125 eV/atom
! Crystal system   triclinic
! Density of states at the Fermi level   2.08 states/eV/cell

---

Entry 8:
! NaNd2Cd PBE-GGA optimized geometry; values from VASP
&SYSTEM
  ibrav = 0, nat = 4, ntyp = 3
/
ATOMIC_SPECIES
Na 22.99 Na.upf
Nd 144.24 Nd.upf
Cd 112.41 Cd.upf
ATOMIC_POSITIONS angstrom
Na -3.651 -0.770 3.360
Nd -1.226 0.753 1.113
Nd -4.434 2.723 4.025
Cd -0.822 -2.507 0.791
CELL_PARAMETERS angstrom
-2.683 -2.537 -1.239
1.040 -2.477 2.821
-5.660 3.475 5.138
! SG   P4/mmm, No. 123
! E   -0.21770 Ry/atom
! Formation enthalpy at 0 K   -0.019 eV/atom
! Crystal system   tetragonal
! Density of states at the Fermi level   4.67 states/eV/cell